1.
A plane-wave DFT calculation with PBEsol was carried out for a relaxed structure of MgBiHSe2.

The crystal system is tetragonal.

The space group is P4/mmm (No. 123) and the conventional cell measures 5.496, 5.496 and 3.931 Å, with angles of 90.00, 90.00 and 90.00 degrees. The asymmetric unit holds Mg at (0.000, 0.000, 0.000), Bi at (0.500, 0.500, 0.500), H at (0.500, 0.500, 0.000) and Se at (0.000, 0.500, 0.500).

2.
A plane-wave DFT calculation with PBEsol was carried out for a relaxed structure of MnBiHN2.

The crystal system is tetragonal.

The space group is P4/mmm (No. 123) and the conventional cell measures 3.498, 3.498 and 5.454 Å, with angles of 90.00, 90.00 and 90.00 degrees. The asymmetric unit holds Mn at (0.000, 0.000, 0.000), Bi at (0.000, 0.000, 0.500), H at (0.500, 0.500, 0.500) and N at (0.000, 0.500, 0.000).

3.
A plane-wave DFT calculation with PBEsol was carried out for a relaxed structure of Bi2MoH2.

The crystal system is tetragonal.

The space group is P4/mbm (No. 127) and the conventional cell measures 7.785, 7.785 and 2.984 Å, with angles of 90.00, 90.00 and 90.00 degrees. The asymmetric unit holds Bi at (0.250, 0.250, 0.000), Mo at (0.000, 0.000, 0.000) and H at (0.036, 0.464, 0.500).

4.
A plane-wave DFT calculation with PBEsol was carried out for a relaxed structure of BiH3N.

The crystal system is cubic.

The space group is Pm-3m (No. 221) and the conventional cell measures 4.017, 4.017 and 4.017 Å, with angles of 90.00, 90.00 and 90.00 degrees. The asymmetric unit holds Bi at (0.000, 0.000, 0.000), H at (0.000, 0.000, 0.500) and N at (0.500, 0.500, 0.500).

5.
A plane-wave DFT calculation with PBEsol was carried out for a relaxed structure of BiHN3.

The crystal system is cubic.

The space group is Pm-3m (No. 221) and the conventional cell measures 3.601, 3.601 and 3.601 Å, with angles of 90.00, 90.00 and 90.00 degrees. The asymmetric unit holds Bi at (0.000, 0.000, 0.000), H at (0.500, 0.500, 0.500) and N at (0.000, 0.500, 0.500).

6.
A plane-wave DFT calculation with PBEsol was carried out for a relaxed structure of NbBiH2N.

The crystal system is tetragonal.

The space group is P4/mmm (No. 123) and the conventional cell measures 3.528, 3.528 and 5.804 Å, with angles of 90.00, 90.00 and 90.00 degrees. The asymmetric unit holds Nb at (0.000, 0.000, 0.000), Bi at (0.000, 0.000, 0.500), H at (0.000, 0.500, 0.000) and N at (0.500, 0.500, 0.500).

7.
A plane-wave DFT calculation with PBEsol was carried out for a relaxed structure of Na3BiH.

The crystal system is cubic.

The space group is Pm-3m (No. 221) and the conventional cell measures 4.789, 4.789 and 4.789 Å, with angles of 90.00, 90.00 and 90.00 degrees. The asymmetric unit holds Na at (0.000, 0.000, 0.500), Bi at (0.500, 0.500, 0.500) and H at (0.000, 0.000, 0.000).

8.
A plane-wave DFT calculation with PBEsol was carried out for a relaxed structure of NaNb2BiH.

The crystal system is tetragonal.

The space group is P4/mmm (No. 123) and the conventional cell measures 5.178, 5.178 and 3.338 Å, with angles of 90.00, 90.00 and 90.00 degrees. The asymmetric unit holds Na at (0.000, 0.000, 0.000), Nb at (0.000, 0.500, 0.000), Bi at (0.500, 0.500, 0.500) and H at (0.000, 0.000, 0.500).

9.
A plane-wave DFT calculation with PBEsol was carried out for a relaxed structure of Nb2BiH.

The crystal system is cubic.

The space group is Fm-3m (No. 225) and the conventional cell measures 6.500, 6.500 and 6.500 Å, with angles of 90.00, 90.00 and 90.00 degrees. The asymmetric unit holds Nb at (0.250, 0.250, 0.250), Bi at (0.000, 0.000, 0.000) and H at (0.000, 0.000, 0.500).

10.
A plane-wave DFT calculation with PBEsol was carried out for a relaxed structure of Ni2BiH2.

The crystal system is tetragonal.

The space group is I4/mmm (No. 139) and the conventional cell measures 3.321, 3.321 and 9.732 Å, with angles of 90.00, 90.00 and 90.00 degrees. The asymmetric unit holds Ni at (0.000, 0.000, 0.198), Bi at (0.000, 0.000, 0.500) and H at (0.000, 0.500, 0.250).

11.
A plane-wave DFT calculation with PBEsol was carried out for a relaxed structure of BiHRhO2.

The crystal system is tetragonal.

The space group is P4/mmm (No. 123) and the conventional cell measures 4.135, 4.135 and 3.319 Å, with angles of 90.00, 90.00 and 90.00 degrees. The asymmetric unit holds Bi at (0.000, 0.000, 0.000), H at (0.500, 0.500, 0.000), Rh at (0.500, 0.500, 0.500) and O at (0.000, 0.500, 0.500).

12.
A plane-wave DFT calculation with PBEsol was carried out for a relaxed structure of ZnBiH2Os.

The crystal system is tetragonal.

The space group is P4/mmm (No. 123) and the conventional cell measures 3.717, 3.717 and 5.288 Å, with angles of 90.00, 90.00 and 90.00 degrees. The asymmetric unit holds Zn at (0.000, 0.000, 0.000), Bi at (0.500, 0.500, 0.500), H at (0.000, 0.500, 0.000) and Os at (0.000, 0.000, 0.500).

13.
A plane-wave DFT calculation with PBEsol was carried out for a relaxed structure of Bi2PH.

The crystal system is cubic.

The space group is Fm-3m (No. 225) and the conventional cell measures 6.856, 6.856 and 6.856 Å, with angles of 90.00, 90.00 and 90.00 degrees. The asymmetric unit holds Bi at (0.250, 0.250, 0.250), P at (0.000, 0.000, 0.000) and H at (0.000, 0.000, 0.500).

14.
A plane-wave DFT calculation with PBEsol was carried out for a relaxed structure of ZrBi2PH.

The crystal system is tetragonal.

The space group is P4/mmm (No. 123) and the conventional cell measures 5.330, 5.330 and 4.856 Å, with angles of 90.00, 90.00 and 90.00 degrees. The asymmetric unit holds Zr at (0.000, 0.000, 0.000), Bi at (0.000, 0.500, 0.500), P at (0.000, 0.000, 0.500) and H at (0.500, 0.500, 0.000).

15.
A plane-wave DFT calculation with PBEsol was carried out for a relaxed structure of BiH3Pb.

The crystal system is cubic.

The space group is Pm-3m (No. 221) and the conventional cell measures 4.250, 4.250 and 4.250 Å, with angles of 90.00, 90.00 and 90.00 degrees. The asymmetric unit holds Bi at (0.000, 0.000, 0.000), H at (0.000, 0.000, 0.500) and Pb at (0.500, 0.500, 0.500).

16.
A plane-wave DFT calculation with PBEsol was carried out for a relaxed structure of Bi2HPb.

The crystal system is tetragonal.

The space group is I-42d (No. 122) and the conventional cell measures 7.533, 7.533 and 6.835 Å, with angles of 90.00, 90.00 and 90.00 degrees. The asymmetric unit holds Bi at (0.138, 0.250, 0.125), H at (0.000, 0.000, 0.000) and Pb at (0.000, 0.000, 0.500).

17.
A plane-wave DFT calculation with PBEsol was carried out for a relaxed structure of BiH2Pd2.

The crystal system is tetragonal.

The space group is I4/mmm (No. 139) and the conventional cell measures 3.326, 3.326 and 11.331 Å, with angles of 90.00, 90.00 and 90.00 degrees. The asymmetric unit holds Bi at (0.000, 0.000, 0.000), H at (0.000, 0.500, 0.250) and Pd at (0.000, 0.000, 0.329).

18.
A plane-wave DFT calculation with PBEsol was carried out for a relaxed structure of BiH2Pd.

The crystal system is tetragonal.

The space group is I-42d (No. 122) and the conventional cell measures 4.490, 4.490 and 10.388 Å, with angles of 90.00, 90.00 and 90.00 degrees. The asymmetric unit holds Bi at (0.000, 0.000, 0.000), H at (0.043, 0.250, 0.625) and Pd at (0.000, 0.000, 0.500).

19.
A plane-wave DFT calculation with PBEsol was carried out for a relaxed structure of Bi2HPd2.

The crystal system is tetragonal.

The space group is P4/mbm (No. 127) and the conventional cell measures 7.375, 7.375 and 3.624 Å, with angles of 90.00, 90.00 and 90.00 degrees. The asymmetric unit holds Bi at (0.165, 0.335, 0.000), H at (0.000, 0.000, 0.500) and Pd at (0.134, 0.634, 0.500).

20.
A plane-wave DFT calculation with PBEsol was carried out for a relaxed structure of BiHPd2.

The crystal system is tetragonal.

The space group is I-42d (No. 122) and the conventional cell measures 6.183, 6.183 and 6.218 Å, with angles of 90.00, 90.00 and 90.00 degrees. The asymmetric unit holds Bi at (0.000, 0.000, 0.000), H at (0.000, 0.000, 0.500) and Pd at (0.103, 0.250, 0.625).

| no. | raw total energy (eV/atom) |
| --- | --- |
| 1 | -3.44 |
| 2 | -6.32 |
| 3 | -4.76 |
| 4 | -3.16 |
| 5 | -4.57 |
| 6 | -5.11 |
| 7 | -2.57 |
| 8 | -4.63 |
| 9 | -6.48 |
| 10 | -4.61 |
| 11 | -5.64 |
| 12 | -4.04 |
| 13 | -3.94 |
| 14 | -4.56 |
| 15 | -3.02 |
| 16 | -3.70 |
| 17 | -4.70 |
| 18 | -4.10 |
| 19 | -4.51 |
| 20 | -5.07 |